AcLaAgTe after structural relaxation, computed with GGA-PBE.

Calculated values
V   31.02 Å³ per atom
N(E_F)   4.86 states/eV/f.u.
Mass density   8.0 Mg/m³
Formation energy from raw total energies   -681 meV/atom
Symmetry   No. 216

Unit cell a=5.598 b=5.598 c=5.598 alpha=60.00 beta=60.00 gamma=60.00
Each line ends with the local moment (μB).
Atoms (fractional coordinates):
Te 0.250 0.250 0.250  0.02
Ac 0.500 0.500 0.500  0.15
Ag 0.750 0.750 0.750  0.02
La 0.000 0.000 0.000  0.24

***

Ac3La3Tl2Ag after structural relaxation, computed with GGA-PBE.

Calculated values
V   34.88 Å³ per atom
N(E_F)   12.97 states/eV/f.u.
Mass density   8.5 Mg/m³
DFT formation energy   -224 meV per atom
Symmetry   No. 189

Unit cell a=4.060 b=9.450 c=9.450 alpha=120.00 beta=90.00 gamma=90.00
Atoms (fractional coordinates):
Tl 0.500 0.667 0.333
Tl 0.500 0.333 0.667
La 0.000 0.599 0.599
La 0.000 0.000 0.401
La 0.000 0.401 0.000
Ac 0.500 0.263 0.263
Ac 0.500 0.737 0.000
Ac 0.500 0.000 0.737
Ag 0.000 0.000 0.000